No. 1
Computed, not measured: TlCuSe2 after structural relaxation at the PBE-GGA level of DFT.

a = 5.609 Å, b = 8.140 Å, c = 4.422 Å
α = 90.00°, β = 115.40°, γ = 90.00°
Space group C2/m (No. 12)
Unique sites:
Tl 0.000 0.000 0.000 x2
Cu 0.000 0.500 0.000 x2
Se 0.250 0.250 0.500 x4

Results
**V**: 182.4 Å³ per cell
**Crystal system**: monoclinic
**Formation energy from raw total energies**: 0.6 eV per formula unit


No. 2
Computed, not measured: BaRe4P after structural relaxation at the PBE-GGA level of DFT.

a = 7.712 Å, b = 7.712 Å, c = 7.712 Å
α = 90.00°, β = 90.00°, γ = 90.00°
Space group F-43m (No. 216)
Unique sites:
Ba 0.000 0.000 0.000 x4
Re 0.123 0.123 0.377 x16
P 0.250 0.250 0.750 x4

Results
**V**: 458.6 Å³ per cell
**Crystal system**: cubic
**Total energy**: -8.425 eV per atom


No. 3
Computed, not measured: LiRe3Tc after structural relaxation at the PBE-GGA level of DFT.

a = 4.116 Å, b = 4.116 Å, c = 4.116 Å
α = 90.00°, β = 90.00°, γ = 90.00°
Space group Pm-3m (No. 221)
Unique sites:
Li 0.000 0.000 0.000 x1
Re 0.000 0.000 0.500 x3
Tc 0.500 0.500 0.500 x1

Results
**V**: 69.7 Å³ per cell
**Crystal system**: cubic
**Polymorph energy (0 for the lowest one)**: 0 meV/atom


No. 4
Computed, not measured: Li3Cl2F after structural relaxation at the PBE-GGA level of DFT.

a = 5.739 Å, b = 10.967 Å, c = 11.792 Å
α = 90.00°, β = 92.13°, γ = 90.00°
Space group C2/c (No. 15)
Unique sites:
Li 0.000 0.021 0.250 x4
Li 0.000 0.410 0.250 x4
Li 0.158 0.334 0.875 x8
Li 0.195 0.101 0.540 x8
Cl 0.228 0.113 0.922 x8
Cl 0.235 0.202 0.354 x8
F 0.228 0.498 0.835 x8

Results
**V**: 741.6 Å³ per cell
**Crystal system**: monoclinic
**Formation energy from raw total energies**: -12.9 eV per formula unit
**Polymorph energy (0 for the lowest one)**: 0 meV/atom


No. 5
Computed, not measured: Dy2SnPb after structural relaxation at the PBE-GGA level of DFT.

a = 7.642 Å, b = 7.642 Å, c = 7.642 Å
α = 90.00°, β = 90.00°, γ = 90.00°
Space group Fm-3m (No. 225)
Unique sites:
Dy 0.250 0.250 0.250 x8
Sn 0.000 0.000 0.000 x4
Pb 0.000 0.000 0.500 x4

Results
**V**: 446.2 Å³ per cell
**Crystal system**: cubic
**Polymorph energy (0 for the lowest one)**: 137 meV/atom


No. 6
Computed, not measured: SrLa3Ti after structural relaxation at the PBE-GGA level of DFT.

a = 5.782 Å, b = 5.782 Å, c = 5.782 Å
α = 90.00°, β = 90.00°, γ = 90.00°
Space group Pm-3m (No. 221)
Unique sites:
Sr 0.000 0.000 0.000 x1
La 0.000 0.500 0.500 x3
Ti 0.500 0.500 0.500 x1

Results
**V**: 193.3 Å³ per cell
**Crystal system**: cubic
**Polymorph energy (0 for the lowest one)**: 0 meV/atom


No. 7
Computed, not measured: MnInHPd2 after structural relaxation at the PBE-GGA level of DFT.

a = 4.222 Å, b = 4.222 Å, c = 3.801 Å
α = 90.00°, β = 90.00°, γ = 90.00°
Space group P4/mmm (No. 123)
Unique sites:
Mn 0.000 0.000 0.000 x1
In 0.500 0.500 0.000 x1
H 0.000 0.000 0.500 x1
Pd 0.000 0.500 0.500 x2

Results
**V**: 67.8 Å³ per cell
**Crystal system**: tetragonal
**Total energy**: -5.351 eV per atom


No. 8
Computed, not measured: Na3CuB after structural relaxation at the PBE-GGA level of DFT.

a = 5.060 Å, b = 5.060 Å, c = 5.060 Å
α = 90.00°, β = 90.00°, γ = 90.00°
Space group Pm-3m (No. 221)
Unique sites:
Na 0.000 0.000 0.500 x3
Cu 0.500 0.500 0.500 x1
B 0.000 0.000 0.000 x1

Results
**V**: 129.5 Å³ per cell
**Crystal system**: cubic
**Polymorph energy (0 for the lowest one)**: 0 meV/atom


No. 9
Computed, not measured: KAlCd2O4 after structural relaxation at the PBE-GGA level of DFT.

a = 5.569 Å, b = 5.569 Å, c = 7.880 Å
α = 90.00°, β = 90.00°, γ = 90.00°
Space group I-42m (No. 121)
Unique sites:
K 0.000 0.000 0.000 x2
Al 0.000 0.000 0.500 x2
Cd 0.000 0.500 0.250 x4
O 0.188 0.188 0.628 x8

Results
**V**: 244.4 Å³ per cell
**Crystal system**: tetragonal
**Formation energy from raw total energies**: -14.0 eV per formula unit


No. 10
Computed, not measured: LiLa2AlIr after structural relaxation at the PBE-GGA level of DFT.

a = 5.610 Å, b = 5.610 Å, c = 4.870 Å
α = 90.00°, β = 90.00°, γ = 90.00°
Space group P4/mmm (No. 123)
Unique sites:
Li 0.000 0.000 0.000 x1
La 0.000 0.500 0.500 x2
Al 0.500 0.500 0.000 x1
Ir 0.500 0.500 0.500 x1

Results
**V**: 153.3 Å³ per cell
**Crystal system**: tetragonal
**Total energy**: -5.224 eV per atom


No. 11
Computed, not measured: Dy8NiAg2 after structural relaxation at the PBE-GGA level of DFT.

a = 7.395 Å, b = 16.014 Å, c = 6.003 Å
α = 90.00°, β = 121.70°, γ = 90.00°
Space group Cm (No. 8)
Unique sites:
Dy 0.000 0.000 0.000 x2
Dy 0.035 0.386 0.874 x4
Dy 0.040 0.500 0.367 x2
Dy 0.269 0.197 0.206 x4
Dy 0.492 0.388 0.513 x4
Ni 0.269 0.000 0.515 x2
Ag 0.271 0.279 0.707 x4

Results
**V**: 604.9 Å³ per cell
**Crystal system**: monoclinic
**Polymorph energy (0 for the lowest one)**: 20 meV/atom


No. 12
Computed, not measured: Er2VGa5 after structural relaxation at the PBE-GGA level of DFT.

a = 6.358 Å, b = 6.358 Å, c = 7.420 Å
α = 90.00°, β = 90.00°, γ = 90.00°
Space group I4mm (No. 107)
Unique sites:
Er 0.000 0.500 0.000 x4
V 0.000 0.000 0.385 x2
Ga 0.000 0.000 0.033 x2
Ga 0.210 0.210 0.747 x8

Results
**V**: 300.0 Å³ per cell
**Crystal system**: tetragonal
**Total energy**: -4.537 eV per atom